(1)
{"formula": "ZrCrCd", "functional": "PBE", "state": "relaxed", "dos_ef_per_ev_cell": 2.49, "sg": "P3m1 (156)", "e_above_lowest_polymorph_kcal_per_mol_atoms": 2.75, "crystal_system": "trigonal", "formation_energy_ev_per_atom": 0.31, "cell": [[4.790, 0.000, 0.000], [-2.395, 4.148, 0.000], [0.000, 0.000, 3.026]], "species": ["Zr", "Cr", "Cd"], "fractional_positions": [[0.000, 0.000, 0.000], [0.333, 0.667, 0.504], [0.667, 0.333, 0.497]]}



(2)
{"formula": "La2Ni3P4Ir", "functional": "PBE", "state": "relaxed", "dos_ef_per_ev_cell": 3.58, "sg": "P-4m2 (115)", "crystal_system": "tetragonal", "formation_energy_ev_per_atom": -0.99, "cell": [[4.112, 0.000, 0.000], [0.000, 4.112, 0.000], [0.000, 0.000, 9.447]], "species": ["La", "La", "Ni", "Ni", "Ni", "P", "P", "P", "P", "Ir"], "fractional_positions": [[0.000, 0.500, 0.241], [0.500, 0.000, 0.759], [0.000, 0.500, 0.889], [0.500, 0.000, 0.111], [0.500, 0.500, 0.500], [0.000, 0.000, 0.000], [0.000, 0.500, 0.635], [0.500, 0.000, 0.365], [0.500, 0.500, 0.000], [0.000, 0.000, 0.500]]}



(3)
{"formula": "ZnAg3C", "functional": "PBE", "state": "relaxed", "dos_ef_per_ev_cell": 1.75, "sg": "Pm-3m (221)", "e_above_lowest_polymorph_kcal_per_mol_atoms": 23.67, "crystal_system": "cubic", "formation_energy_ev_per_atom": 1.80, "cell": [[4.827, 0.000, 0.000], [0.000, 4.827, 0.000], [0.000, 0.000, 4.827]], "species": ["Zn", "Ag", "Ag", "Ag", "C"], "fractional_positions": [[0.000, 0.000, 0.000], [0.000, 0.000, 0.500], [0.000, 0.500, 0.000], [0.500, 0.000, 0.000], [0.500, 0.500, 0.500]]}



(4)
{"formula": "Al2TlOs", "functional": "PBE", "state": "relaxed", "dos_ef_per_ev_cell": 4.07, "sg": "Fm-3m (225)", "e_above_lowest_polymorph_kcal_per_mol_atoms": 13.17, "crystal_system": "cubic", "formation_energy_ev_per_atom": 0.49, "cell": [[0.000, 3.239, 3.239], [3.239, 0.000, 3.239], [3.239, 3.239, 0.000]], "species": ["Al", "Al", "Tl", "Os"], "fractional_positions": [[0.250, 0.250, 0.250], [0.750, 0.750, 0.750], [0.000, 0.000, 0.000], [0.500, 0.500, 0.500]]}



(5)
{"formula": "PuPa2Os", "functional": "PBE", "state": "relaxed", "dos_ef_per_ev_cell": 15.08, "sg": "P2_1/m (11)", "e_above_lowest_polymorph_kcal_per_mol_atoms": 0.00, "crystal_system": "monoclinic", "formation_energy_ev_per_atom": -0.12, "cell": [[5.520, 0.000, 0.000], [0.000, 4.855, 0.000], [-1.861, 0.000, 6.550]], "species": ["Pu", "Pu", "Pa", "Pa", "Pa", "Pa", "Os", "Os"], "fractional_positions": [[0.155, 0.250, 0.210], [0.845, 0.750, 0.790], [0.292, 0.750, 0.565], [0.342, 0.750, 0.083], [0.658, 0.250, 0.917], [0.708, 0.250, 0.435], [0.148, 0.250, 0.738], [0.852, 0.750, 0.262]]}



(6)
{"formula": "CaMg2Hg", "functional": "PBE", "state": "relaxed", "dos_ef_per_ev_cell": 2.24, "sg": "R3m (160)", "crystal_system": "trigonal", "formation_energy_ev_per_atom": -0.08, "cell": [[1.822, 1.052, 9.606], [-1.822, 1.052, 9.606], [0.000, -2.104, 9.606]], "species": ["Ca", "Mg", "Mg", "Hg"], "fractional_positions": [[0.000, 0.000, 0.000], [0.238, 0.238, 0.238], [0.489, 0.489, 0.489], [0.750, 0.750, 0.750]]}



For each record above, in turn, the calculated total energy values are -6.06; -6.76; -2.01; -4.78; -11.26; -1.45 eV/atom.
For each record above, in turn, the calculated magnetization values are 3.91; 0.00; 1.11; 0.00; 5.39; 0.00 μB per formula unit.